No. 1
## Tb2CdIn2 (PBE-GGA)

Data for crystalline Tb2CdIn2 at its relaxed geometry.

Lattice parameters (Å, degrees): 11.336 4.815 10.814 90.00 115.15 90.00
Space group C2/m (No. 12)
Symmetry-distinct sites (fractional):
Tb: 0.023 0.000 0.336 x4
Tb: 0.172 0.000 0.088 x4
Cd: 0.223 0.500 0.334 x4
In: 0.035 0.500 0.880 x4
In: 0.139 0.500 0.577 x4

The value obtained for the calculated density is 8.2 Mg/m³.

No. 2
## Tb6CdIn3 (PBE-GGA)

Data for crystalline Tb6CdIn3 at its relaxed geometry.

Lattice parameters (Å, degrees): 9.361 5.344 11.682 90.00 108.10 90.00
Space group P2_1/m (No. 11)
Symmetry-distinct sites (fractional):
Tb: 0.040 0.250 0.413 x2
Tb: 0.162 0.750 0.178 x2
Tb: 0.251 0.250 0.003 x2
Tb: 0.343 0.750 0.802 x2
Tb: 0.367 0.250 0.339 x2
Tb: 0.408 0.250 0.621 x2
Cd: 0.458 0.750 0.096 x2
In: 0.033 0.750 0.881 x2
In: 0.126 0.250 0.716 x2
In: 0.274 0.750 0.474 x2

The value obtained for the calculated density is 8.4 Mg/m³.

No. 3
## Tb6Cd6In (PBE-GGA)

Data for crystalline Tb6Cd6In at its relaxed geometry.

Lattice parameters (Å, degrees): 6.0859 6.0859 11.0737 90.00 90.00 120.00
Space group P6/mmm (No. 191)
Symmetry-distinct sites (fractional):
Tb: 0.0000 0.0000 0.1581 x2
Tb: 0.3333 0.6667 0.0000 x2
Tb: 0.3333 0.6667 0.5000 x2
Cd: 0.0000 0.5000 0.2538 x6
In: 0.0000 0.0000 0.5000 x1

The value obtained for the calculated density is 8.1 Mg/m³.

No. 4
## Tb6CdIn2 (PBE-GGA)

Data for crystalline Tb6CdIn2 at its relaxed geometry.

Lattice parameters (Å, degrees): 5.175 7.355 15.564 90.00 90.00 90.00
Space group Immm (No. 71)
Symmetry-distinct sites (fractional):
Tb: 0.000 0.246 0.000 x4
Tb: 0.000 0.252 0.334 x8
Cd: 0.000 0.500 0.500 x2
In: 0.000 0.500 0.167 x4

The value obtained for the calculated density is 7.3 Mg/m³.

No. 5
## Tb11Cd9In4 (PBE-GGA)

Data for crystalline Tb11Cd9In4 at its relaxed geometry.

Lattice parameters (Å, degrees): 16.398 21.326 3.649 90.00 90.00 90.00
Space group Cmmm (No. 65)
Symmetry-distinct sites (fractional):
Tb: 0.000 0.000 0.000 x2
Tb: 0.000 0.183 0.000 x4
Tb: 0.000 0.360 0.000 x4
Tb: 0.227 0.000 0.000 x4
Tb: 0.233 0.170 0.000 x8
Cd: 0.000 0.500 0.500 x2
Cd: 0.107 0.090 0.500 x8
Cd: 0.121 0.268 0.500 x8
In: 0.148 0.419 0.500 x8

The value obtained for the calculated density is 8.4 Mg/m³.

No. 6
## Tb3CdIn (PBE-GGA)

Data for crystalline Tb3CdIn at its relaxed geometry.

Lattice parameters (Å, degrees): 8.2263 8.2263 5.2680 90.00 90.00 120.00
Space group P6_3/mmc (No. 194)
Symmetry-distinct sites (fractional):
Tb: 0.1958 0.3916 0.2500 x6
Cd: 0.0000 0.0000 0.0000 x2
In: 0.3333 0.6667 0.7500 x2

The value obtained for the offset from the most stable computed form is 267 meV/atom. The value obtained for the calculated density is 7.6 Mg/m³.

No. 7
## Tb6CdIn5 (PBE-GGA)

Data for crystalline Tb6CdIn5 at its relaxed geometry.

Lattice parameters (Å, degrees): 6.431 11.173 9.908 90.00 102.66 90.00
Space group C2/m (No. 12)
Symmetry-distinct sites (fractional):
Tb: 0.249 0.000 0.249 x4
Tb: 0.249 0.167 0.748 x8
Cd: 0.000 0.000 0.500 x2
In: 0.000 0.168 0.000 x4
In: 0.000 0.335 0.500 x4
In: 0.000 0.500 0.000 x2

The value obtained for the offset from the most stable computed form is 160 meV/atom. The value obtained for the calculated density is 7.8 Mg/m³.

No. 8
## Tb6CdIn5 (PBE-GGA)

Data for crystalline Tb6CdIn5 at its relaxed geometry.

Lattice parameters (Å, degrees): 5.354 7.468 8.460 90.00 108.16 90.00
Space group P2/m (No. 10)
Symmetry-distinct sites (fractional):
Tb: 0.000 0.250 0.000 x2
Tb: 0.333 0.249 0.667 x4
Cd: 0.500 0.000 0.000 x1
In: 0.164 0.000 0.328 x2
In: 0.166 0.500 0.333 x2
In: 0.500 0.500 0.000 x1

The value obtained for the offset from the most stable computed form is 0 meV/atom. The value obtained for the calculated density is 8.5 Mg/m³.

No. 9
## Tb6Cd5In (PBE-GGA)

Data for crystalline Tb6Cd5In at its relaxed geometry.

Lattice parameters (Å, degrees): 5.307 7.551 8.404 90.00 108.31 90.00
Space group P2/m (No. 10)
Symmetry-distinct sites (fractional):
Tb: 0.000 0.249 0.000 x2
Tb: 0.333 0.249 0.666 x4
Cd: 0.167 0.000 0.333 x2
Cd: 0.169 0.500 0.337 x2
Cd: 0.500 0.000 0.000 x1
In: 0.500 0.500 0.000 x1

The value obtained for the calculated density is 8.5 Mg/m³.

No. 10
## Tb3Cd3In2 (PBE-GGA)

Data for crystalline Tb3Cd3In2 at its relaxed geometry.

Lattice parameters (Å, degrees): 4.742 11.372 15.583 90.00 90.00 90.00
Space group Cmcm (No. 63)
Symmetry-distinct sites (fractional):
Tb: 0.000 0.082 0.111 x8
Tb: 0.000 0.350 0.250 x4
Cd: 0.000 0.374 0.750 x4
Cd: 0.000 0.385 0.035 x8
In: 0.000 0.207 0.610 x8

The value obtained for the calculated density is 8.2 Mg/m³.

No. 11
## Tb9CdIn2 (PBE-GGA)

Data for crystalline Tb9CdIn2 at its relaxed geometry.

Lattice parameters (Å, degrees): 4.864 4.864 14.577 90.00 90.00 90.00
Space group P4/mmm (No. 123)
Symmetry-distinct sites (fractional):
Tb: 0.000 0.000 0.000 x1
Tb: 0.000 0.000 0.332 x2
Tb: 0.000 0.500 0.167 x4
Tb: 0.000 0.500 0.500 x2
Cd: 0.500 0.500 0.000 x1
In: 0.500 0.500 0.334 x2

The value obtained for the calculated density is 8.5 Mg/m³.

No. 12
## Tb7Cd2In2 (PBE-GGA)

Data for crystalline Tb7Cd2In2 at its relaxed geometry.

Lattice parameters (Å, degrees): 7.567 11.161 8.154 90.00 90.00 90.00
Space group Cmmm (No. 65)
Symmetry-distinct sites (fractional):
Tb: 0.000 0.000 0.000 x2
Tb: 0.000 0.500 0.247 x4
Tb: 0.250 0.250 0.292 x8
Cd: 0.000 0.285 0.000 x4
In: 0.186 0.000 0.500 x4

The value obtained for the calculated density is 7.6 Mg/m³.

No. 13
## Tb8CdIn2 (PBE-GGA)

Data for crystalline Tb8CdIn2 at its relaxed geometry.

Lattice parameters (Å, degrees): 5.149 8.578 14.685 90.00 90.00 90.00
Space group Immm (No. 71)
Symmetry-distinct sites (fractional):
Tb: 0.000 0.000 0.141 x4
Tb: 0.000 0.218 0.343 x8
Tb: 0.000 0.312 0.000 x4
Cd: 0.000 0.500 0.500 x2
In: 0.000 0.500 0.196 x4

The value obtained for the offset from the most stable computed form is 30 meV/atom. The value obtained for the calculated density is 8.3 Mg/m³.

No. 14
## TbCdIn6 (PBE-GGA)

Data for crystalline TbCdIn6 at its relaxed geometry.

Lattice parameters (Å, degrees): 9.171 9.716 4.634 90.00 90.00 90.00
Space group Cmmm (No. 65)
Symmetry-distinct sites (fractional):
Tb: 0.000 0.000 0.000 x2
Cd: 0.000 0.500 0.000 x2
In: 0.000 0.245 0.500 x4
In: 0.239 0.500 0.500 x4
In: 0.250 0.250 0.000 x4

The value obtained for the calculated density is 7.7 Mg/m³.

No. 15
## Tb11Cd4In9 (PBE-GGA)

Data for crystalline Tb11Cd4In9 at its relaxed geometry.

Lattice parameters (Å, degrees): 15.031 22.507 3.766 90.00 90.00 90.00
Space group Cmmm (No. 65)
Symmetry-distinct sites (fractional):
Tb: 0.000 0.000 0.000 x2
Tb: 0.000 0.163 0.000 x4
Tb: 0.000 0.360 0.000 x4
Tb: 0.223 0.500 0.000 x4
Tb: 0.234 0.175 0.000 x8
Cd: 0.150 0.403 0.500 x8
In: 0.000 0.500 0.500 x2
In: 0.108 0.262 0.500 x8
In: 0.134 0.077 0.500 x8

The value obtained for the calculated density is 8.4 Mg/m³.

No. 16
## Tb2Cd5In (PBE-GGA)

Data for crystalline Tb2Cd5In at its relaxed geometry.

Lattice parameters (Å, degrees): 4.318 18.162 10.177 90.00 90.00 90.00
Space group Cmcm (No. 63)
Symmetry-distinct sites (fractional):
Tb: 0.000 0.000 0.000 x4
Tb: 0.000 0.185 0.250 x4
Cd: 0.000 0.206 0.601 x8
Cd: 0.000 0.366 0.531 x8
Cd: 0.000 0.383 0.250 x4
In: 0.000 0.463 0.750 x4

The value obtained for the calculated density is 8.3 Mg/m³.

No. 17
## Tb3CdIn3 (PBE-GGA)

Data for crystalline Tb3CdIn3 at its relaxed geometry.

Lattice parameters (Å, degrees): 11.437 4.733 14.925 90.00 108.42 90.00
Space group C2/m (No. 12)
Symmetry-distinct sites (fractional):
Tb: 0.035 0.000 0.381 x4
Tb: 0.100 0.000 0.921 x4
Tb: 0.230 0.000 0.218 x4
Cd: 0.239 0.500 0.387 x4
In: 0.015 0.500 0.230 x4
In: 0.120 0.500 0.073 x4
In: 0.129 0.500 0.551 x4

The value obtained for the calculated density is 8.1 Mg/m³.

No. 18
## Tb2Cd3In2 (PBE-GGA)

Data for crystalline Tb2Cd3In2 at its relaxed geometry.

Lattice parameters (Å, degrees): 11.218 4.712 7.172 90.00 111.65 90.00
Space group C2/m (No. 12)
Symmetry-distinct sites (fractional):
Tb: 0.150 0.000 0.265 x4
Cd: 0.000 0.500 0.500 x2
Cd: 0.099 0.500 0.931 x4
In: 0.151 0.000 0.727 x4

The value obtained for the offset from the most stable computed form is 0 meV/atom. The value obtained for the calculated density is 8.3 Mg/m³.

No. 19
## Tb3Cd4In (PBE-GGA)

Data for crystalline Tb3Cd4In at its relaxed geometry.

Lattice parameters (Å, degrees): 3.530 8.146 15.369 90.00 90.00 90.00
Space group Immm (No. 71)
Symmetry-distinct sites (fractional):
Tb: 0.000 0.000 0.000 x2
Tb: 0.000 0.500 0.180 x4
Cd: 0.000 0.311 0.357 x8
In: 0.000 0.000 0.500 x2

The value obtained for the calculated density is 7.8 Mg/m³.

No. 20
## Tb6CdIn (PBE-GGA)

Data for crystalline Tb6CdIn at its relaxed geometry.

Lattice parameters (Å, degrees): 4.866 4.866 9.717 90.00 90.00 90.00
Space group P4/mmm (No. 123)
Symmetry-distinct sites (fractional):
Tb: 0.000 0.000 0.000 x1
Tb: 0.000 0.000 0.500 x1
Tb: 0.000 0.500 0.250 x4
Cd: 0.500 0.500 0.000 x1
In: 0.500 0.500 0.500 x1

The value obtained for the calculated density is 8.5 Mg/m³.

Number 1: formation energy -401 meV/atom. Number 2: formation energy -337 meV/atom. Number 3: formation energy -162 meV/atom. Number 4: formation energy -26 meV/atom. Number 5: formation energy -332 meV/atom. Number 6: formation energy -45 meV/atom. Number 7: formation energy -300 meV/atom. Number 8: formation energy -460 meV/atom. Number 9: formation energy -351 meV/atom. Number 10: formation energy -336 meV/atom. Number 11: formation energy -210 meV/atom. Number 12: formation energy 7 meV/atom. Number 13: formation energy -158 meV/atom. Number 14: formation energy -141 meV/atom. Number 15: formation energy -396 meV/atom. Number 16: formation energy -237 meV/atom. Number 17: formation energy -409 meV/atom. Number 18: formation energy -297 meV/atom. Number 19: formation energy -120 meV/atom. Number 20: formation energy -180 meV/atom.